# TbTlRh2, relaxed, DFT PBE
# * crystal system: tetragonal
# * ΔH_f (0 K): -0.552 eV per atom
# * space group: P4/mmm, No. 123
# * calculated density: 12.6 g/cm³
data_TbTlRh2
_chemical_formula_sum 'Tb1 Tl1 Rh2'
_cell_length_a 4.513
_cell_length_b 4.513
_cell_length_c 3.676
_cell_angle_alpha 90.00
_cell_angle_beta 90.00
_cell_angle_gamma 90.00
_space_group_name_H-M_alt 'P 1'
_space_group_IT_number 1
loop_
_space_group_symop_operation_xyz
'x,y,z'
loop_
_atom_site_label
_atom_site_type_symbol
_atom_site_fract_x
_atom_site_fract_y
_atom_site_fract_z
Tb1 Tb 0.000 0.000 0.000
Tl1 Tl 0.500 0.500 0.000
Rh1 Rh 0.000 0.500 0.500
Rh2 Rh 0.500 0.000 0.500

# PaSnTe2, relaxed, DFT PBE
# * crystal system: tetragonal
# * raw formation energy: -486 meV/atom
# * space group: P4/mmm, No. 123
# * calculated density: 9.0 g/cm³
data_PaSnTe2
_chemical_formula_sum 'Pa1 Sn1 Te2'
_cell_length_a 3.813
_cell_length_b 3.813
_cell_length_c 7.652
_cell_angle_alpha 90.00
_cell_angle_beta 90.00
_cell_angle_gamma 90.00
_space_group_name_H-M_alt 'P 1'
_space_group_IT_number 1
loop_
_space_group_symop_operation_xyz
'x,y,z'
loop_
_atom_site_label
_atom_site_type_symbol
_atom_site_fract_x
_atom_site_fract_y
_atom_site_fract_z
Pa1 Pa 0.000 0.000 0.000
Sn1 Sn 0.000 0.000 0.500
Te1 Te 0.500 0.500 0.222
Te2 Te 0.500 0.500 0.778

# ScHgMo2, relaxed, DFT PBE
# * crystal system: monoclinic
# * ΔH_f (0 K): 0.306 eV per atom
# * space group: C2/m, No. 12
# * calculated density: 10.1 g/cm³
data_ScHgMo2
_chemical_formula_sum 'Sc1 Hg1 Mo2'
_cell_length_a 5.553
_cell_length_b 5.553
_cell_length_c 2.823
_cell_angle_alpha 99.16
_cell_angle_beta 99.16
_cell_angle_gamma 119.36
_space_group_name_H-M_alt 'P 1'
_space_group_IT_number 1
loop_
_space_group_symop_operation_xyz
'x,y,z'
loop_
_atom_site_label
_atom_site_type_symbol
_atom_site_fract_x
_atom_site_fract_y
_atom_site_fract_z
Sc1 Sc 0.000 0.000 0.000
Hg1 Hg 0.500 0.500 0.000
Mo1 Mo 0.000 0.500 0.500
Mo2 Mo 0.500 0.000 0.500

# YPaNi2, relaxed, DFT PBE
# * crystal system: tetragonal
# * ΔH_f (0 K): -0.300 eV per atom
# * space group: P4/mmm, No. 123
# * calculated density: 9.2 g/cm³
data_YPaNi2
_chemical_formula_sum 'Y1 Pa1 Ni2'
_cell_length_a 3.417
_cell_length_b 3.417
_cell_length_c 6.768
_cell_angle_alpha 90.00
_cell_angle_beta 90.00
_cell_angle_gamma 90.00
_space_group_name_H-M_alt 'P 1'
_space_group_IT_number 1
loop_
_space_group_symop_operation_xyz
'x,y,z'
loop_
_atom_site_label
_atom_site_type_symbol
_atom_site_fract_x
_atom_site_fract_y
_atom_site_fract_z
Y1 Y 0.000 0.000 0.000
Pa1 Pa 0.000 0.000 0.500
Ni1 Ni 0.500 0.500 0.299
Ni2 Ni 0.500 0.500 0.701

# Rb3CdGa2Sn9, relaxed, DFT PBE
# * crystal system: trigonal
# * ΔH_f (0 K): 0.105 eV per atom
# * space group: P-3m1, No. 164
# * calculated density: 4.8 g/cm³
data_Rb3CdGa2Sn9
_chemical_formula_sum 'Rb3 Cd1 Ga2 Sn9'
_cell_length_a 7.416
_cell_length_b 7.416
_cell_length_c 11.445
_cell_angle_alpha 90.00
_cell_angle_beta 90.00
_cell_angle_gamma 120.00
_space_group_name_H-M_alt 'P 1'
_space_group_IT_number 1
loop_
_space_group_symop_operation_xyz
'x,y,z'
loop_
_atom_site_label
_atom_site_type_symbol
_atom_site_fract_x
_atom_site_fract_y
_atom_site_fract_z
Rb1 Rb 0.000 0.000 0.000
Rb2 Rb 0.333 0.667 0.713
Rb3 Rb 0.667 0.333 0.287
Cd1 Cd 0.000 0.000 0.500
Ga1 Ga 0.333 0.667 0.165
Ga2 Ga 0.667 0.333 0.835
Sn1 Sn 0.000 0.500 0.000
Sn2 Sn 0.200 0.400 0.380
Sn3 Sn 0.200 0.800 0.380
Sn4 Sn 0.400 0.200 0.620
Sn5 Sn 0.500 0.000 0.000
Sn6 Sn 0.500 0.500 0.000
Sn7 Sn 0.600 0.800 0.380
Sn8 Sn 0.800 0.200 0.620
Sn9 Sn 0.800 0.600 0.620

# Na2CaInO4, relaxed, DFT PBE
# * crystal system: monoclinic
# * raw formation energy: -1726 meV/atom
# * space group: P2/m, No. 10
# * calculated density: 4.1 g/cm³
data_Na2CaInO4
_chemical_formula_sum 'Na2 Ca1 In1 O4'
_cell_length_a 5.849
_cell_length_b 3.345
_cell_length_c 5.878
_cell_angle_alpha 90.00
_cell_angle_beta 109.34
_cell_angle_gamma 90.00
_space_group_name_H-M_alt 'P 1'
_space_group_IT_number 1
loop_
_space_group_symop_operation_xyz
'x,y,z'
loop_
_atom_site_label
_atom_site_type_symbol
_atom_site_fract_x
_atom_site_fract_y
_atom_site_fract_z
Na1 Na 0.000 0.000 0.000
Na2 Na 0.500 0.500 0.000
Ca1 Ca 0.000 0.500 0.500
In1 In 0.500 0.000 0.500
O1 O 0.256 0.000 0.720
O2 O 0.274 0.500 0.281
O3 O 0.726 0.500 0.719
O4 O 0.744 0.000 0.280

# ZrTlZn2, relaxed, DFT PBE
# * crystal system: tetragonal
# * ΔH_f (0 K): 0.182 eV per atom
# * space group: I-42d, No. 122
# * calculated density: 8.3 g/cm³
data_ZrTlZn2
_chemical_formula_sum 'Zr2 Tl2 Zn4'
_cell_length_a 6.132
_cell_length_b 6.132
_cell_length_c 6.132
_cell_angle_alpha 103.46
_cell_angle_beta 103.46
_cell_angle_gamma 122.31
_space_group_name_H-M_alt 'P 1'
_space_group_IT_number 1
loop_
_space_group_symop_operation_xyz
'x,y,z'
loop_
_atom_site_label
_atom_site_type_symbol
_atom_site_fract_x
_atom_site_fract_y
_atom_site_fract_z
Zr1 Zr 0.000 0.000 0.000
Zr2 Zr 0.750 0.250 0.500
Tl1 Tl 0.250 0.750 0.500
Tl2 Tl 0.500 0.500 0.000
Zn1 Zn 0.130 0.625 0.005
Zn2 Zn 0.375 0.380 0.505
Zn3 Zn 0.620 0.125 0.995
Zn4 Zn 0.875 0.870 0.495

# NaGe2Ir, relaxed, DFT PBE
# * crystal system: trigonal
# * ΔH_f (0 K): -0.174 eV per atom
# * space group: R3m, No. 160
# * calculated density: 7.4 g/cm³
data_NaGe2Ir
_chemical_formula_sum 'Na1 Ge2 Ir1'
_cell_length_a 5.956
_cell_length_b 5.956
_cell_length_c 5.956
_cell_angle_alpha 40.65
_cell_angle_beta 40.65
_cell_angle_gamma 40.65
_space_group_name_H-M_alt 'P 1'
_space_group_IT_number 1
loop_
_space_group_symop_operation_xyz
'x,y,z'
loop_
_atom_site_label
_atom_site_type_symbol
_atom_site_fract_x
_atom_site_fract_y
_atom_site_fract_z
Na1 Na 0.000 0.000 0.000
Ge1 Ge 0.212 0.212 0.212
Ge2 Ge 0.439 0.439 0.439
Ir1 Ir 0.818 0.818 0.818

Results for N(E_F): 1.1; 5.1; 2.8; 4.4; 8.6; 7.4; 9.0; 2.8 (in states/eV per cell, following the order of the records).
Results for E: -23.91; -21.72; -27.07; -28.72; -44.32; -41.02; -12.73; -20.11 (in eV per formula unit, following the order of the records).